# 1
Ac2HgRhO6 | PBE-GGA | optimized geometry

a b c (Å): 5.8437 6.3517 8.1411
angles (deg): 90.00 89.46 90.00
Last column: nearest neighbours and their distance in Å.
Fractional positions:
O 0.7087 0.3348 0.9526  1 Rh 2.04
Hg 0.5000 0.0000 0.0000  6 O 2.28-2.51
O 0.1137 0.4509 0.7648  1 Rh 2.05, 1 Hg 2.28
Ac 0.9807 0.0718 0.7495  5 O 2.49-2.76
O 0.8863 0.5491 0.2352  1 Rh 2.05, 1 Hg 2.28
Ac 0.5193 0.5718 0.7505  5 O 2.49-2.76
O 0.6564 0.2775 0.5643  1 Rh 2.06
Hg 0.0000 0.5000 0.5000  6 O 2.28-2.51
O 0.2913 0.6652 0.0474  1 Rh 2.04
O 0.8436 0.7775 0.9357  1 Rh 2.06
O 0.1564 0.2225 0.0643  1 Rh 2.06
O 0.2087 0.1652 0.4526  1 Rh 2.04
Rh 0.5000 0.0000 0.5000  6 O 2.04-2.06
O 0.6137 0.0491 0.2648  1 Rh 2.05, 1 Hg 2.28
O 0.3436 0.7225 0.4357  1 Rh 2.06
Ac 0.4807 0.4282 0.2495  5 O 2.49-2.76
O 0.7913 0.8348 0.5474  1 Rh 2.04
O 0.3863 0.9509 0.7352  1 Rh 2.05, 1 Hg 2.28
Rh 0.0000 0.5000 0.0000  6 O 2.04-2.06
Ac 0.0193 0.9282 0.2505  5 O 2.49-2.76

Volume in Å³ per cell: 302.2
Uncorrected formation energy in eV per atom: -1.95
SG: No. 14



# 2
Ce2CdAs | PBE-GGA | optimized geometry

a b c (Å): 3.8755 3.8755 6.8047
angles (deg): 90.00 90.00 90.00
Last column: nearest neighbours and their distance in Å.
Fractional positions:
As 0.5000 0.5000 0.0000  8 Ce 3.09, 2 Cd 3.40
Cd 0.5000 0.5000 0.5000  8 Ce 3.37, 2 As 3.40
Ce 0.0000 0.0000 0.7893  1 Ce 2.87, 4 As 3.09
Ce 0.0000 0.0000 0.2107  1 Ce 2.87, 4 As 3.09

Volume in Å³ per cell: 102.2
E above lowest polymorph in eV per atom: 0.000
SG: No. 123
DFT formation energy in meV per atom: -647



# 3
RbScSi2Ir | PBE-GGA | optimized geometry

a b c (Å): 5.1464 5.1464 4.8324
angles (deg): 90.00 90.00 90.00
Last column: nearest neighbours and their distance in Å.
Fractional positions:
Sc 0.5000 0.5000 0.5000  8 Si 3.53, 4 Ir 3.64
Si 0.5000 0.0000 0.0000  2 Rb 2.57
Ir 0.0000 0.0000 0.5000  2 Rb 2.42
Rb 0.0000 0.0000 0.0000  2 Ir 2.42, 4 Si 2.57
Si 0.0000 0.5000 0.0000  2 Rb 2.57

Volume in Å³ per cell: 128.0
Uncorrected formation energy in eV per atom: 2.16
SG: No. 123



# 4
Na5Hg2Bi2 | PBE-GGA | optimized geometry

a b c (Å): 7.2053 9.5270 9.1633
angles (deg): 121.32 90.00 90.00
Last column: nearest neighbours and their distance in Å.
Fractional positions:
Bi 0.0000 0.7569 0.5139  8 Na 3.30-3.45, 2 Bi 3.61
Na 0.7561 0.5961 0.6965  1 Na 3.08, 2 Hg 3.11-3.14, 3 Bi 3.30-3.37
Na 0.2561 0.6004 0.6965  1 Na 3.08, 2 Hg 3.11-3.14, 3 Bi 3.30-3.37
Na 0.7439 0.3996 0.3035  1 Na 3.08, 2 Hg 3.11-3.14, 3 Bi 3.30-3.37
Bi 0.5000 0.7431 0.4861  8 Na 3.30-3.45, 2 Bi 3.61
Na 0.7561 0.8996 0.3035  1 Na 3.08, 2 Hg 3.11-3.14, 3 Bi 3.30-3.37
Bi 0.0000 0.2431 0.4861  8 Na 3.30-3.45, 2 Bi 3.61
Hg 0.5109 0.8478 0.0000  1 Hg 2.91, 4 Na 3.11-3.14
Na 0.7439 0.0961 0.6965  1 Na 3.08, 2 Hg 3.11-3.14, 3 Bi 3.30-3.37
Hg 0.4891 0.1522 0.0000  1 Hg 2.91, 4 Na 3.11-3.14
Na 0.0000 0.0000 0.0000  2 Hg 3.31
Na 0.5000 0.5000 0.0000  2 Hg 3.31
Na 0.2561 0.9039 0.3035  1 Na 3.08, 2 Hg 3.11-3.14, 3 Bi 3.30-3.37
Bi 0.5000 0.2569 0.5139  8 Na 3.30-3.45, 2 Bi 3.61
Hg 0.9891 0.3478 0.0000  1 Hg 2.91, 4 Na 3.11-3.14
Na 0.2439 0.4039 0.3035  1 Na 3.08, 2 Hg 3.11-3.14, 3 Bi 3.30-3.37
Na 0.2439 0.1004 0.6965  1 Na 3.08, 2 Hg 3.11-3.14, 3 Bi 3.30-3.37
Hg 0.0109 0.6522 0.0000  1 Hg 2.91, 4 Na 3.11-3.14

Volume in Å³ per cell: 537.3
SG: No. 64
DFT formation energy in meV per atom: -225



# 5
K2LiHg6Pb | PBE-GGA | optimized geometry

a b c (Å): 7.7447 7.4042 7.8746
angles (deg): 58.30 60.53 89.29
Last column: nearest neighbours and their distance in Å.
Fractional positions:
Hg 0.3816 0.8565 0.9750  1 Li 2.72
Hg 0.8302 0.6204 0.5454  1 Li 2.80, 1 Hg 3.07
Hg 0.1698 0.3796 0.4546  1 Li 2.80, 1 Hg 3.07
Hg 0.8411 0.8492 0.7828  1 Li 2.77
Hg 0.6184 0.1435 0.0250  1 Li 2.72
Pb 0.0000 0.0000 0.0000  6 Hg 3.08-3.15
K 0.7069 0.3211 0.3649  5 Hg 3.49-3.86, 1 Li 3.61
Hg 0.1589 0.1508 0.2172  1 Li 2.77
Li 0.5000 0.5000 0.0000  6 Hg 2.72-2.80
K 0.2931 0.6789 0.6351  5 Hg 3.49-3.86, 1 Li 3.61

Volume in Å³ per cell: 315.5
SG: No. 2
DFT formation energy in meV per atom: -172



# 6
MgCrIn2 | PBE-GGA | optimized geometry

a b c (Å): 9.5168 9.5168 9.5168
angles (deg): 19.90 19.90 19.90
Last column: nearest neighbours and their distance in Å.
Fractional positions:
Mg 0.2500 0.2500 0.2500  6 In 3.11, 6 Mg 3.29
In 0.0045 0.0045 0.0045  3 Cr 2.91, 3 Mg 3.11
In 0.4955 0.4955 0.4955  3 Cr 2.91, 3 Mg 3.11
Cr 0.7500 0.7500 0.7500  6 In 2.91

Volume in Å³ per cell: 87.3
SG: No. 166
DFT formation energy in meV per atom: 227



# 7
SrLi2Cl | PBE-GGA | optimized geometry

a b c (Å): 4.6629 4.6629 5.9124
angles (deg): 90.00 90.00 90.00
Last column: nearest neighbours and their distance in Å.
Fractional positions:
Li 0.0000 0.0000 0.0105  2 Li 2.83-3.08
Sr 0.5000 0.5000 0.2500  2 Cl 2.96
Cl 0.5000 0.5000 0.7500  2 Sr 2.96
Li 0.0000 0.0000 0.4895  2 Li 2.83-3.08

Volume in Å³ per cell: 128.5
E above lowest polymorph in eV per atom: 0.180
Uncorrected formation energy in eV per atom: -0.55
SG: No. 123